Record 1
# Pm4Tm2Sc, optimized geometry, DFT GGA-PBE
data_Pm4Tm2Sc
_space_group_name_H-M_alt 'C m c e'
_space_group_IT_number 64
_space_group_name_Hall '-C 2ac 2'
_cell_length_a 5.304
_cell_length_b 11.010
_cell_length_c 15.480
_cell_angle_alpha 90.00
_cell_angle_beta 90.00
_cell_angle_gamma 90.00
loop_
_atom_site_label
_atom_site_fract_x
_atom_site_fract_y
_atom_site_fract_z
Pm1 0.000 0.084 0.191
Pm2 0.000 0.197 0.430
Tm1 0.000 0.115 0.654
Sc1 0.000 0.000 0.000
# DFT total energy (Ry/atom): -0.347
# Relative energy among the computed polymorphs (eV per atom): 0.0000

---

Record 2
# Pm3Tm3Sc, optimized geometry, DFT GGA-PBE
data_Pm3Tm3Sc
_space_group_name_H-M_alt 'P 63/m'
_space_group_IT_number 176
_space_group_name_Hall '-P 6c'
_cell_length_a 9.4460
_cell_length_b 9.4460
_cell_length_c 5.6629
_cell_angle_alpha 90.00
_cell_angle_beta 90.00
_cell_angle_gamma 120.00
loop_
_atom_site_label
_atom_site_fract_x
_atom_site_fract_y
_atom_site_fract_z
Pm1 0.0529 0.2471 0.2500
Tm1 0.0968 0.4815 0.7500
Sc1 0.3333 0.6667 0.2500
# DFT total energy (Ry/atom): -0.355
# Relative energy among the computed polymorphs (eV per atom): 0.0000

---

Record 3
# PmTm4Sc8, optimized geometry, DFT GGA-PBE
data_PmTm4Sc8
_space_group_name_H-M_alt 'R -3 m'
_space_group_IT_number 166
_space_group_name_Hall '-R 3 2"'
_cell_length_a 10.4125
_cell_length_b 10.4125
_cell_length_c 12.7266
_cell_angle_alpha 90.00
_cell_angle_beta 90.00
_cell_angle_gamma 120.00
loop_
_atom_site_label
_atom_site_fract_x
_atom_site_fract_y
_atom_site_fract_z
Pm1 0.0000 0.0000 0.0000
Tm1 0.0000 0.0000 0.5000
Tm2 0.0000 0.5000 0.5000
Sc1 0.0000 0.0000 0.2611
Sc2 0.0146 0.5073 0.2458
# DFT total energy (Ry/atom): -0.370

---

Record 4
# PmTm7Sc4, optimized geometry, DFT GGA-PBE
data_PmTm7Sc4
_space_group_name_H-M_alt 'C 1 2/m 1'
_space_group_IT_number 12
_space_group_name_Hall '-C 2y'
_cell_length_a 15.428
_cell_length_b 5.677
_cell_length_c 9.428
_cell_angle_alpha 90.00
_cell_angle_beta 121.93
_cell_angle_gamma 90.00
loop_
_atom_site_label
_atom_site_fract_x
_atom_site_fract_y
_atom_site_fract_z
Pm1 0.000 0.000 0.000
Tm1 0.000 0.500 0.000
Tm2 0.086 0.000 0.441
Tm3 0.208 0.000 0.880
Tm4 0.247 0.000 0.281
Sc1 0.052 0.500 0.703
Sc2 0.171 0.500 0.349
# DFT total energy (Ry/atom): -0.357
# Relative energy among the computed polymorphs (eV per atom): 0.2325

---

Record 5
# PmTmSc2, optimized geometry, DFT GGA-PBE
data_PmTmSc2
_space_group_name_H-M_alt 'P -3 m 1'
_space_group_IT_number 164
_space_group_name_Hall '-P 3 2"'
_cell_length_a 3.4371
_cell_length_b 3.4371
_cell_length_c 10.9577
_cell_angle_alpha 90.00
_cell_angle_beta 90.00
_cell_angle_gamma 120.00
loop_
_atom_site_label
_atom_site_fract_x
_atom_site_fract_y
_atom_site_fract_z
Pm1 0.0000 0.0000 0.0000
Tm1 0.0000 0.0000 0.5000
Sc1 0.3333 0.6667 0.7469
# DFT total energy (Ry/atom): -0.398
# Relative energy among the computed polymorphs (eV per atom): 0.0000

---

Record 6
# Pm3Tm6Sc, optimized geometry, DFT GGA-PBE
data_Pm3Tm6Sc
_space_group_name_H-M_alt 'R 3'
_space_group_IT_number 146
_space_group_name_Hall 'R 3'
_cell_length_a 9.7501
_cell_length_b 9.7501
_cell_length_c 11.4054
_cell_angle_alpha 90.00
_cell_angle_beta 90.00
_cell_angle_gamma 120.00
loop_
_atom_site_label
_atom_site_fract_x
_atom_site_fract_y
_atom_site_fract_z
Pm1 0.0000 0.0000 0.0000
Pm2 0.0000 0.0000 0.2534
Pm3 0.0000 0.0000 0.7456
Tm1 0.0035 0.6749 0.4164
Tm2 0.0081 0.3382 0.2481
Sc1 0.0000 0.0000 0.4996
# DFT total energy (Ry/atom): -0.329
# Relative energy among the computed polymorphs (eV per atom): 0.1170

---

Record 7
# Pm2Tm4Sc, optimized geometry, DFT GGA-PBE
data_Pm2Tm4Sc
_space_group_name_H-M_alt 'P 1'
_space_group_IT_number 1
_space_group_name_Hall 'P 1'
_cell_length_a 6.189
_cell_length_b 8.325
_cell_length_c 9.049
_cell_angle_alpha 95.48
_cell_angle_beta 90.01
_cell_angle_gamma 111.76
loop_
_atom_site_label
_atom_site_fract_x
_atom_site_fract_y
_atom_site_fract_z
Pm1 0.000 0.000 0.000
Pm2 0.094 0.853 0.643
Pm3 0.285 0.566 0.425
Pm4 0.667 0.003 0.502
Tm1 0.142 0.292 0.721
Tm2 0.239 0.144 0.355
Tm3 0.420 0.850 0.141
Tm4 0.520 0.709 0.793
Tm5 0.571 0.153 0.863
Tm6 0.711 0.429 0.576
Tm7 0.807 0.288 0.210
Tm8 0.849 0.708 0.277
Sc1 0.380 0.429 0.069
Sc2 0.948 0.566 0.933
# DFT total energy (Ry/atom): -0.352
# Relative energy among the computed polymorphs (eV per atom): 0.0000

---

Record 8
# Pm4Tm10Sc, optimized geometry, DFT GGA-PBE
data_Pm4Tm10Sc
_space_group_name_H-M_alt 'I 4/m m m'
_space_group_IT_number 139
_space_group_name_Hall '-I 4 2'
_cell_length_a 11.173
_cell_length_b 11.173
_cell_length_c 7.727
_cell_angle_alpha 90.00
_cell_angle_beta 90.00
_cell_angle_gamma 90.00
loop_
_atom_site_label
_atom_site_fract_x
_atom_site_fract_y
_atom_site_fract_z
Pm1 0.229 0.229 0.000
Tm1 0.000 0.207 0.290
Tm2 0.000 0.500 0.250
Sc1 0.000 0.000 0.000
# DFT total energy (Ry/atom): -0.323

---

What is the formula in the second record?
Pm3Tm3Sc

---

Which of these has the highest DFT total energy?
Pm4Tm10Sc

---

Among the records above, which one has the highest DFT total energy?
Pm4Tm10Sc

---

Which formula does entry 5 have?
PmTmSc2